Entry 1:
First-principles (PBE-GGA) data for a relaxed Li2Hg7Pb crystal, as listed in the Alexandria database.

```
Li2Hg7Pb
1.0
-4.052 -2.863 0.443
1.539 -3.289 -7.166
3.148 -3.444 6.540
Li Hg Pb
2 7 1
direct
0.500 0.701 0.299
0.500 0.299 0.701
0.000 0.766 0.234
0.000 0.234 0.766
0.500 0.072 0.313
0.500 0.928 0.687
0.500 0.313 0.072
0.500 0.687 0.928
0.500 0.500 0.500
0.000 0.000 0.000
```

Properties
uncorrected energy: -9.85 eV per formula unit
ΔH_f (0 K): -20 meV/atom
space-group type: No. 65
crystal system: orthorhombic

=====

Entry 2:
First-principles (PBE-GGA) data for a relaxed LiHg2Pb crystal, as listed in the Alexandria database.

```
LiHg2Pb
1.0
-2.091 3.421 -3.221
-2.916 -1.795 -0.014
-2.027 2.896 4.391
Pb Hg Li
1 2 1
direct
0.500 0.750 0.750
0.000 0.028 0.021
0.000 0.472 0.479
0.500 0.250 0.250
```

Properties
uncorrected energy: -6.69 eV per formula unit
ΔH_f (0 K): -116 meV/atom
space-group type: No. 10
crystal system: monoclinic

=====

Entry 3:
First-principles (PBE-GGA) data for a relaxed Li2Hg6Pb crystal, as listed in the Alexandria database.

```
Li2Hg6Pb
1.0
5.064 -0.347 -0.332
1.820 7.377 2.788
1.820 3.109 7.247
Li Hg Pb
2 6 1
direct
0.162 0.379 0.379
0.838 0.621 0.621
0.273 0.949 0.445
0.727 0.051 0.555
0.727 0.555 0.051
0.500 0.268 0.732
0.500 0.732 0.268
0.273 0.445 0.949
0.000 0.000 0.000
```

Properties
energy relative to the lowest polymorph listed for this composition: 0.0340 eV per atom
uncorrected energy: -10.12 eV per formula unit
ΔH_f (0 K): -86 meV/atom
space-group type: No. 12
crystal system: monoclinic

=====

Entry 4:
First-principles (PBE-GGA) data for a relaxed Li2HgPb crystal, as listed in the Alexandria database.

```
Li2HgPb
1.0
-2.708 -1.681 -1.076
-1.873 -1.746 2.182
-6.653 6.180 1.830
Li Hg Pb
2 1 1
direct
0.080 0.080 0.760
0.253 0.253 0.240
0.666 0.666 0.001
0.500 0.500 0.499
```

Properties
uncorrected energy: -8.68 eV per formula unit
ΔH_f (0 K): -210 meV/atom
space-group type: No. 160
crystal system: trigonal